DFT (PBE) results for a geometry-optimized As5C3 structure.

a b c (Å): 6.065 7.572 6.243
angles (deg): 90.00 108.90 90.00
Space group P2_1/m (No. 11)
Symmetry-distinct sites (fractional):
As1 0.106 0.250 0.286 x2
As2 0.184 0.250 0.776 x2
As3 0.303 0.750 0.707 x2
As4 0.311 0.575 0.201 x4
C1 0.035 0.750 0.051 x2
C2 0.419 0.750 0.457 x2
C3 0.489 0.750 0.038 x2

E_form = 816 kJ/mol of formula units
DOS(E_F) = 5.0 states/eV per cell
M_tot = 0.00 μB per formula unit



DFT (PBE) results for a geometry-optimized AcEuYHg structure.

a b c (Å): 8.038 8.038 8.038
angles (deg): 90.00 90.00 90.00
Space group F-43m (No. 216)
Symmetry-distinct sites (fractional):
Ac1 0.000 0.000 0.000 x4
Eu1 0.250 0.250 0.750 x4
Y1 0.250 0.250 0.250 x4
Hg1 0.000 0.000 0.500 x4

E_form = 14 kJ/mol of formula units
DOS(E_F) = 26.9 states/eV per cell
M_tot = 8.73 μB per formula unit



DFT (PBE) results for a geometry-optimized TbNpF6 structure.

a b c (Å): 5.457 5.457 8.072
angles (deg): 90.00 90.00 90.00
Space group P4_2/m (No. 84)
Symmetry-distinct sites (fractional):
Tb1 0.000 0.000 0.250 x2
Np1 0.500 0.500 0.000 x2
F1 0.158 0.806 0.000 x4
F2 0.241 0.690 0.318 x8

ΔE_f (raw) = -3750 meV/atom
DOS(E_F) = 13.9 states/eV per cell
M_tot = 4.00 μB per formula unit



DFT (PBE) results for a geometry-optimized Ce2AlH structure.

a b c (Å): 3.0692 3.0692 28.6828
angles (deg): 90.00 90.00 120.00
Space group R-3m (No. 166, hexagonal axes)
Symmetry-distinct sites (fractional):
Ce1 0.0000 0.0000 0.1087 x6
Al1 0.0000 0.0000 0.0000 x3
H1 0.0000 0.0000 0.5000 x3

DOS(E_F) = 23.6 states/eV per cell
M_tot = 0.59 μB per formula unit



DFT (PBE) results for a geometry-optimized HfMg2Pt structure.

a b c (Å): 7.930 7.930 5.381
angles (deg): 90.00 90.00 90.00
Space group I-42d (No. 122)
Symmetry-distinct sites (fractional):
Hf1 0.000 0.000 0.000 x4
Mg1 0.194 0.250 0.625 x8
Pt1 0.000 0.000 0.500 x4

E_form = -42 kJ/mol of formula units
DOS(E_F) = 11.2 states/eV per cell
M_tot = 0.00 μB per formula unit



DFT (PBE) results for a geometry-optimized MgFeNi2 structure.

a b c (Å): 4.185 4.185 2.878
angles (deg): 90.00 90.00 90.00
Space group P4/mmm (No. 123)
Symmetry-distinct sites (fractional):
Mg1 0.000 0.000 0.000 x1
Fe1 0.500 0.500 0.000 x1
Ni1 0.000 0.500 0.500 x2

E_form = -3 kJ/mol of formula units
DOS(E_F) = 4.6 states/eV per cell
M_tot = 3.77 μB per formula unit



DFT (PBE) results for a geometry-optimized PuGaPdPb structure.

a b c (Å): 7.035 7.035 7.035
angles (deg): 90.00 90.00 90.00
Space group F-43m (No. 216)
Symmetry-distinct sites (fractional):
Pu1 0.000 0.000 0.000 x4
Ga1 0.250 0.250 0.750 x4
Pd1 0.000 0.000 0.500 x4
Pb1 0.250 0.250 0.250 x4

E_form = -76 kJ/mol of formula units
DOS(E_F) = 51.4 states/eV per cell
M_tot = 5.55 μB per formula unit



DFT (PBE) results for a geometry-optimized Zr2In2Mo structure.

a b c (Å): 6.958 6.958 4.790
angles (deg): 90.00 90.00 90.00
Space group P4/mbm (No. 127)
Symmetry-distinct sites (fractional):
Zr1 0.157 0.343 0.000 x4
In1 0.159 0.659 0.500 x4
Mo1 0.000 0.000 0.000 x2

E_form = 159 kJ/mol of formula units
DOS(E_F) = 9.4 states/eV per cell
M_tot = 0.00 μB per formula unit



What calculated total energy values result from the calculations? In sequence: -5.3076 -5.2506 -7.3494 -4.6949 -4.9057 -5.4130 -6.7621 -6.3511 eV per atom.